# TbEuCuGe PBE relaxed
# Energy relative to the elements, eV/f.u.: -1.786
# E_tot, Ha/atom: -0.2334
# N(E_F), states/eV per atom: 1.6173
# Total magnetization, μB per formula unit: 7.2
data_TbEuCuGe
_cell_length_a 5.088
_cell_length_b 5.088
_cell_length_c 5.088
_cell_angle_alpha 60.00
_cell_angle_beta 60.00
_cell_angle_gamma 60.00
_space_group_name_H-M_alt 'P 1'
_space_group_IT_number 1
_space_group_name_Hall 'P 1'
loop_
_atom_site_label
_atom_site_type_symbol
_atom_site_fract_x
_atom_site_fract_y
_atom_site_fract_z
Tb1 Tb 0.000 0.000 0.000
Eu1 Eu 0.500 0.500 0.500
Cu1 Cu 0.750 0.750 0.750
Ge1 Ge 0.250 0.250 0.250

=====

# VOs5Ru PBE relaxed
# Energy relative to the elements, eV/f.u.: 2.963
# E_tot, Ha/atom: -0.3758
# N(E_F), states/eV per atom: 0.9398
# Total magnetization, μB per formula unit: 0.0
data_VOs5Ru
_cell_length_a 6.628
_cell_length_b 6.628
_cell_length_c 6.628
_cell_angle_alpha 105.40
_cell_angle_beta 102.24
_cell_angle_gamma 121.49
_space_group_name_H-M_alt 'P 1'
_space_group_IT_number 1
_space_group_name_Hall 'P 1'
loop_
_atom_site_label
_atom_site_type_symbol
_atom_site_fract_x
_atom_site_fract_y
_atom_site_fract_z
V1 V 0.310 0.060 0.250
V2 V 0.690 0.940 0.750
Os1 Os 0.000 0.280 0.280
Os2 Os 0.000 0.720 0.720
Os3 Os 0.189 0.216 0.972
Os4 Os 0.256 0.784 0.472
Os5 Os 0.281 0.531 0.750
Os6 Os 0.500 0.280 0.780
Os7 Os 0.500 0.720 0.220
Os8 Os 0.719 0.469 0.250
Os9 Os 0.744 0.216 0.528
Os10 Os 0.811 0.784 0.028
Ru1 Ru 0.000 0.000 0.500
Ru2 Ru 0.000 0.500 0.000

=====

# Nd4In5Sn2 PBE relaxed
# Energy relative to the elements, eV/f.u.: -5.185
# E_tot, Ha/atom: -0.1535
# N(E_F), states/eV per atom: 0.7071
# Total magnetization, μB per formula unit: 0.0
data_Nd4In5Sn2
_cell_length_a 8.225
_cell_length_b 3.622
_cell_length_c 10.442
_cell_angle_alpha 90.00
_cell_angle_beta 94.80
_cell_angle_gamma 90.00
_space_group_name_H-M_alt 'P 1'
_space_group_IT_number 1
_space_group_name_Hall 'P 1'
loop_
_atom_site_label
_atom_site_type_symbol
_atom_site_fract_x
_atom_site_fract_y
_atom_site_fract_z
Nd1 Nd 0.174 0.000 0.384
Nd2 Nd 0.273 0.000 0.941
Nd3 Nd 0.727 0.000 0.059
Nd4 Nd 0.826 0.000 0.616
In1 In 0.192 0.500 0.659
In2 In 0.448 0.500 0.204
In3 In 0.500 0.500 0.500
In4 In 0.552 0.500 0.796
In5 In 0.808 0.500 0.341
Sn1 Sn 0.064 0.500 0.137
Sn2 Sn 0.936 0.500 0.863

=====

# CuTc PBE relaxed
# Energy relative to the elements, eV/f.u.: 4.014
# E_tot, Ha/atom: -0.1920
# N(E_F), states/eV per atom: 1.2947
# Total magnetization, μB per formula unit: 0.0
data_CuTc
_cell_length_a 3.788
_cell_length_b 3.788
_cell_length_c 3.788
_cell_angle_alpha 60.00
_cell_angle_beta 60.00
_cell_angle_gamma 60.00
_space_group_name_H-M_alt 'P 1'
_space_group_IT_number 1
_space_group_name_Hall 'P 1'
loop_
_atom_site_label
_atom_site_type_symbol
_atom_site_fract_x
_atom_site_fract_y
_atom_site_fract_z
Cu1 Cu 0.000 0.000 0.000
Tc1 Tc 0.750 0.750 0.750

=====

# CeCdGaCu PBE relaxed
# Energy relative to the elements, eV/f.u.: -1.076
# E_tot, Ha/atom: -0.1383
# N(E_F), states/eV per atom: 1.2647
# Total magnetization, μB per formula unit: 0.6
data_CeCdGaCu
_cell_length_a 4.860
_cell_length_b 4.860
_cell_length_c 4.860
_cell_angle_alpha 60.00
_cell_angle_beta 60.00
_cell_angle_gamma 60.00
_space_group_name_H-M_alt 'P 1'
_space_group_IT_number 1
_space_group_name_Hall 'P 1'
loop_
_atom_site_label
_atom_site_type_symbol
_atom_site_fract_x
_atom_site_fract_y
_atom_site_fract_z
Ce1 Ce 0.000 0.000 0.000
Cd1 Cd 0.500 0.500 0.500
Ga1 Ga 0.250 0.250 0.250
Cu1 Cu 0.750 0.750 0.750

=====

# Li2InOs PBE relaxed
# Energy relative to the elements, eV/f.u.: 0.857
# E_tot, Ha/atom: -0.1556
# N(E_F), states/eV per atom: 0.5606
# Total magnetization, μB per formula unit: 0.0
data_Li2InOs
_cell_length_a 2.716
_cell_length_b 2.716
_cell_length_c 9.242
_cell_angle_alpha 90.00
_cell_angle_beta 90.00
_cell_angle_gamma 105.56
_space_group_name_H-M_alt 'P 1'
_space_group_IT_number 1
_space_group_name_Hall 'P 1'
loop_
_atom_site_label
_atom_site_type_symbol
_atom_site_fract_x
_atom_site_fract_y
_atom_site_fract_z
Li1 Li 0.000 0.000 0.224
Li2 Li 0.000 0.000 0.776
In1 In 0.500 0.500 0.500
Os1 Os 0.500 0.500 0.000

=====

# UFeP PBE relaxed
# Energy relative to the elements, eV/f.u.: -0.257
# E_tot, Ha/atom: -0.3114
# N(E_F), states/eV per atom: 1.3439
# Total magnetization, μB per formula unit: 0.5
data_UFeP
_cell_length_a 4.448
_cell_length_b 4.448
_cell_length_c 4.448
_cell_angle_alpha 126.60
_cell_angle_beta 126.60
_cell_angle_gamma 78.90
_space_group_name_H-M_alt 'P 1'
_space_group_IT_number 1
_space_group_name_Hall 'P 1'
loop_
_atom_site_label
_atom_site_type_symbol
_atom_site_fract_x
_atom_site_fract_y
_atom_site_fract_z
U1 U 0.000 0.000 0.000
Fe1 Fe 0.300 0.300 0.000
P1 P 0.619 0.619 0.000

=====

# MnSi2Ru PBE relaxed
# E_form (uncorrected), meV per atom: -483.3
# E_tot, Ha/atom: -0.2869
# N(E_F), states/eV per atom: 0.9074
# Total magnetization, μB per formula unit: 0.4
data_MnSi2Ru
_cell_length_a 2.875
_cell_length_b 2.875
_cell_length_c 5.728
_cell_angle_alpha 90.00
_cell_angle_beta 90.00
_cell_angle_gamma 90.00
_space_group_name_H-M_alt 'P 1'
_space_group_IT_number 1
_space_group_name_Hall 'P 1'
loop_
_atom_site_label
_atom_site_type_symbol
_atom_site_fract_x
_atom_site_fract_y
_atom_site_fract_z
Mn1 Mn 0.000 0.000 0.000
Si1 Si 0.500 0.500 0.234
Si2 Si 0.500 0.500 0.766
Ru1 Ru 0.000 0.000 0.500